The following is a PBE+U calculation of a relaxed TlV3F9 crystal, from Alexandria.

Geometry as CIF:
```
data_TlV3F9
_space_group_name_H-M_alt 'P 6/m m m'
_space_group_IT_number 191
_space_group_name_Hall '-P 6 2'
_cell_length_a 7.6627
_cell_length_b 7.6627
_cell_length_c 3.9768
_cell_angle_alpha 90.00
_cell_angle_beta 90.00
_cell_angle_gamma 120.00
loop_
_atom_site_label
_atom_site_fract_x
_atom_site_fract_y
_atom_site_fract_z
Tl1 0.0000 0.0000 0.0000
V1 0.0000 0.5000 0.5000
F1 0.0000 0.5000 0.0000
F2 0.2019 0.4038 0.5000
```

Values from the calculation:
The spin magnetization is 7.000 μB per cell. Its volume is 15.6 Å³/atom. The raw total energy is -0.43275 Ry/atom.